First-principles (GGA-PBE) data for an optimized crystal structure of RbBaH2, as listed in Alexandria.

Values from the calculation:
VASP energy = -2.624 eV/atom

a b c (Å): 4.356 6.786 8.362
angles (deg): 90.08 90.17 89.99
Atoms (fractional coordinates):
H 0.503 0.832 0.152
H 0.004 0.198 0.310
H 0.503 0.357 0.161
H 0.504 0.681 0.447
Ba 0.505 0.076 0.412
Ba 0.004 0.580 0.268
Rb 0.500 0.596 0.781
Rb 0.002 0.098 0.986

---

First-principles (GGA-PBE) data for an optimized crystal structure of Li2MgPd9, as listed in Alexandria.

Values from the calculation:
Energy relative to the elements = -31.55 kJ/mol of atoms

a b c (Å): 3.924 3.924 11.699
angles (deg): 90.00 90.00 90.00
Atoms (fractional coordinates):
Pd 0.000 0.500 0.829
Pd 0.500 0.500 0.000
Pd 0.500 0.000 0.171
Pd 0.500 0.500 0.664
Pd 0.500 0.000 0.829
Pd 0.000 0.500 0.500
Pd 0.500 0.000 0.500
Pd 0.000 0.500 0.171
Pd 0.500 0.500 0.336
Li 0.000 0.000 0.336
Li 0.000 0.000 0.664
Mg 0.000 0.000 0.000

---

First-principles (GGA-PBE) data for an optimized crystal structure of SrLi2Au4, as listed in Alexandria.

Values from the calculation:
Energy relative to the elements = -56.37 kJ/mol of atoms

a b c (Å): 5.335 5.806 5.806
angles (deg): 77.81 62.65 62.65
Atoms (fractional coordinates):
Au 0.302 0.000 0.397
Au 0.302 0.397 0.000
Au 0.698 0.603 0.000
Au 0.698 0.000 0.603
Li 0.750 0.500 0.500
Li 0.250 0.500 0.500
Sr 0.000 0.000 0.000

---

First-principles (GGA-PBE) data for an optimized crystal structure of Li2ZnTc, as listed in Alexandria.

Values from the calculation:
Energy relative to the elements = 8.12 kJ/mol of atoms

a b c (Å): 2.589 2.589 8.933
angles (deg): 90.00 90.00 90.00
Atoms (fractional coordinates):
Li 0.000 0.000 0.979
Li 0.500 0.500 0.266
Tc 0.000 0.000 0.509
Zn 0.500 0.500 0.747

---

First-principles (GGA-PBE) data for an optimized crystal structure of EuGdYAl, as listed in Alexandria.

Values from the calculation:
Energy relative to the elements = -4.00 kJ/mol of atoms

a b c (Å): 5.435 5.435 5.435
angles (deg): 60.00 60.00 60.00
Each line ends with the local moment (μB).
Atoms (fractional coordinates):
Eu 0.500 0.500 0.500  6.84
Y 0.250 0.250 0.250  0.05
Gd 0.750 0.750 0.750  -7.05
Al 0.000 0.000 0.000  -0.01

---

First-principles (GGA-PBE) data for an optimized crystal structure of Y2MnAu, as listed in Alexandria.

Values from the calculation:
Energy relative to the elements = -31.62 kJ/mol of atoms

a b c (Å): 4.620 3.746 5.779
angles (deg): 71.22 90.00 90.00
Each line ends with the local moment (μB).
Atoms (fractional coordinates):
Au 0.000 0.696 0.481  0.01
Y 0.000 0.978 0.920  -0.17
Y 0.500 0.273 0.329  -0.18
Mn 0.500 0.553 0.770  3.39